This record from Alexandria via LeMat-Bulk describes an optimized crystal structure of RbSm2Te3. The functional is PBE.

Geometry as POSCAR:
```
RbSm2Te3
1.0
2.6268 -8.5767 0.0000
2.6268 8.5767 0.0000
0.0000 0.0000 10.7236
Rb Sm Te
2 4 6
Cartesian
2.6268 4.7082 8.0427 Rb
2.6268 -4.7082 2.6809 Rb
0.0000 0.0000 0.0000 Sm
0.0000 0.0000 5.3618 Sm
2.6268 0.3501 8.0427 Sm
2.6268 -0.3501 2.6809 Sm
2.6268 6.7871 2.6809 Te
2.6268 1.8907 0.4997 Te
2.6268 1.8907 4.8621 Te
2.6268 -1.8907 5.8615 Te
2.6268 -1.8907 10.2239 Te
2.6268 -6.7871 8.0427 Te
```



This record from Alexandria via LeMat-Bulk describes an optimized crystal structure of Rb3Sm2ThTe6. The functional is PBE.

Geometry as POSCAR:
```
Rb3Sm2ThTe6
1.0
3.9549 -6.8495 0.0000
3.9549 6.8495 0.0000
-2.6355 0.0000 8.6403
Rb Sm Th Te
3 2 1 6
Cartesian
0.0000 0.0000 0.0000 Rb
3.9549 2.2954 0.0000 Rb
3.9549 -2.2954 0.0000 Rb
2.6372 4.5687 4.3202 Sm
2.6372 -4.5687 4.3202 Sm
2.6372 0.0000 4.3202 Th
1.3256 2.2731 2.5417 Te
0.0142 0.0000 6.1016 Te
1.3256 -2.2731 2.5417 Te
3.9488 2.2731 6.0986 Te
5.2602 0.0000 2.5387 Te
3.9488 -2.2731 6.0986 Te
```



Number 1: ΔE_f (raw) -1.237 eV per atom. Number 2: ΔE_f (raw) -1.323 eV per atom.